[1]
Crystalline YSc3Mo at its relaxed geometry, computed with PBE.

Computed properties:
For the total magnetic moment, the calculation gives 0.0 Bohr magnetons per cell. For the formation energy, the calculation gives 0.29 eV/atom. Its crystal system is cubic.

Cell: 5.0988 5.0988 5.0988 Å, 90.00 90.00 90.00°
Space group Pm-3m (No. 221)
Asymmetric unit:
1 Y 0.0000 0.0000 0.0000 (multiplicity 1)
2 Sc 0.0000 0.5000 0.5000 (multiplicity 3)
3 Mo 0.5000 0.5000 0.5000 (multiplicity 1)

[2]
Crystalline YScMo at its relaxed geometry, computed with PBE.

Computed properties:
For the total magnetic moment, the calculation gives 0.0 Bohr magnetons per cell. For the formation energy, the calculation gives 0.26 eV/atom. Its crystal system is hexagonal.

Cell: 4.9247 4.9247 3.1683 Å, 90.00 90.00 120.00°
Space group P-6m2 (No. 187)
Asymmetric unit:
1 Y 0.0000 0.0000 0.0000 (multiplicity 1)
2 Sc 0.6667 0.3333 0.5000 (multiplicity 1)
3 Mo 0.3333 0.6667 0.5000 (multiplicity 1)

Look up the total magnetic moment of the first one.
0.0 Bohr magnetons per cell

Please write out number 1 again, unchanged.
Crystalline YSc3Mo at its relaxed geometry, computed with PBE.

Computed properties:
For the total magnetic moment, the calculation gives 0.0 Bohr magnetons per cell. For the formation energy, the calculation gives 0.29 eV/atom. Its crystal system is cubic.

Cell: 5.0988 5.0988 5.0988 Å, 90.00 90.00 90.00°
Space group Pm-3m (No. 221)
Asymmetric unit:
1 Y 0.0000 0.0000 0.0000 (multiplicity 1)
2 Sc 0.0000 0.5000 0.5000 (multiplicity 3)
3 Mo 0.5000 0.5000 0.5000 (multiplicity 1)